# TbDy3Y3Te8 | Alexandria | PBE | relaxed
# - SG: No. 166
# - Fermi-level density of states: 6.957 states/eV/f.u.
# - Uncorrected formation energy: -1.376 eV/atom
# - Raw total energy: -5.5738 eV/atom
data_TbDy3Y3Te8
_chemical_formula_sum 'Tb1 Dy3 Y3 Te8'
_cell_length_a 8.6883
_cell_length_b 8.6882
_cell_length_c 8.6883
_cell_angle_alpha 120.00
_cell_angle_beta 90.00
_cell_angle_gamma 120.00
_space_group_name_H-M_alt 'P 1'
_space_group_IT_number 1
loop_
_space_group_symop_operation_xyz
'x,y,z'
loop_
_atom_site_label
_atom_site_fract_x
_atom_site_fract_y
_atom_site_fract_z
Dy1 0.0000 0.0000 0.0000
Dy2 0.5000 0.5000 0.0000
Dy3 0.0000 0.5000 0.0000
Te1 0.7439 0.9994 0.2432
Te2 0.2556 0.9994 0.2433
Te3 0.7503 0.5006 0.7508
Te4 0.7444 0.0006 0.7567
Te5 0.2561 0.0006 0.7568
Te6 0.2497 0.4994 0.2492
Te7 0.7438 0.4877 0.2433
Te8 0.2562 0.5123 0.7567
Y1 0.5000 0.5000 0.5000
Y2 0.5000 0.0000 0.5000
Y3 0.0000 0.5000 0.5000
Tb1 0.0000 0.0000 0.5000

---

# Tb3Dy3YTe8 | Alexandria | PBE | relaxed
# - SG: No. 166
# - Fermi-level density of states: 6.876 states/eV/f.u.
# - Uncorrected formation energy: -1.377 eV/atom
# - Raw total energy: -5.3300 eV/atom
data_Tb3Dy3YTe8
_chemical_formula_sum 'Tb3 Dy3 Y1 Te8'
_cell_length_a 8.6952
_cell_length_b 8.6955
_cell_length_c 8.6955
_cell_angle_alpha 120.00
_cell_angle_beta 90.00
_cell_angle_gamma 120.00
_space_group_name_H-M_alt 'P 1'
_space_group_IT_number 1
loop_
_space_group_symop_operation_xyz
'x,y,z'
loop_
_atom_site_label
_atom_site_fract_x
_atom_site_fract_y
_atom_site_fract_z
Te1 0.2566 0.0010 0.2455
Te2 0.7434 0.9990 0.7545
Te3 0.7444 0.0010 0.2455
Te4 0.2505 0.5010 0.2516
Te5 0.2556 0.5112 0.7546
Te6 0.7444 0.4888 0.2454
Te7 0.2556 0.9990 0.7545
Te8 0.7495 0.4990 0.7484
Tb1 0.0000 0.5000 0.0000
Tb2 0.5000 0.5000 0.0000
Tb3 0.0000 0.0000 0.0000
Y1 0.0000 0.0000 0.5000
Dy1 0.0000 0.5000 0.5000
Dy2 0.5000 0.0000 0.5000
Dy3 0.5000 0.5000 0.5000

---

# Tb4Dy3Th | Alexandria | PBE | relaxed
# - Energy of formation from the pure elements: 171 meV/atom
# - SG: No. 12
# - Energy above the lowest structure with this stoichiometry: 1.144 eV per formula unit
# - Fermi-level density of states: 13.757 states/eV/f.u.
# - Raw total energy: -4.7973 eV/atom
data_Tb4Dy3Th
_chemical_formula_sum 'Tb4 Dy3 Th1'
_cell_length_a 3.4531
_cell_length_b 6.7487
_cell_length_c 11.7668
_cell_angle_alpha 106.63
_cell_angle_beta 98.44
_cell_angle_gamma 90.00
_space_group_name_H-M_alt 'P 1'
_space_group_IT_number 1
loop_
_space_group_symop_operation_xyz
'x,y,z'
loop_
_atom_site_label
_atom_site_fract_x
_atom_site_fract_y
_atom_site_fract_z
Dy1 0.1236 0.8840 0.2473
Dy2 0.0000 0.5000 0.0000
Dy3 0.8764 0.1160 0.7527
Tb1 0.1236 0.3635 0.2472
Tb2 0.2587 0.7603 0.5173
Tb3 0.7413 0.2397 0.4827
Tb4 0.8764 0.6365 0.7528
Th1 0.5000 0.0000 0.0000

---

# TbDy7Th2 | Alexandria | PBE | relaxed
# - Energy of formation from the pure elements: 461 meV/atom
# - SG: No. 65
# - Energy above the lowest structure with this stoichiometry: 0.000 eV per formula unit
# - Fermi-level density of states: 14.717 states/eV/f.u.
# - Raw total energy: -4.7070 eV/atom
data_TbDy7Th2
_chemical_formula_sum 'Tb1 Dy7 Th2'
_cell_length_a 3.4871
_cell_length_b 10.2453
_cell_length_c 10.2453
_cell_angle_alpha 108.54
_cell_angle_beta 90.00
_cell_angle_gamma 90.00
_space_group_name_H-M_alt 'P 1'
_space_group_IT_number 1
loop_
_space_group_symop_operation_xyz
'x,y,z'
loop_
_atom_site_label
_atom_site_fract_x
_atom_site_fract_y
_atom_site_fract_z
Dy1 0.5000 0.8688 0.6136
Dy2 0.5000 0.3864 0.1312
Dy3 0.0000 0.6682 0.3318
Dy4 0.0000 0.3318 0.6682
Dy5 0.5000 0.6136 0.8688
Dy6 0.5000 0.5000 0.5000
Dy7 0.5000 0.1312 0.3864
Tb1 0.0000 0.0000 0.0000
Th1 0.5000 0.8264 0.1736
Th2 0.5000 0.1736 0.8264

---

# Tb5Dy8Th | Alexandria | PBE | relaxed
# - Energy of formation from the pure elements: 287 meV/atom
# - SG: No. 82
# - Fermi-level density of states: 23.484 states/eV/f.u.
# - Raw total energy: -4.5265 eV/atom
data_Tb5Dy8Th
_chemical_formula_sum 'Tb5 Dy8 Th1'
_cell_length_a 8.4308
_cell_length_b 8.4308
_cell_length_c 8.4308
_cell_angle_alpha 110.74
_cell_angle_beta 106.97
_cell_angle_gamma 110.74
_space_group_name_H-M_alt 'P 1'
_space_group_IT_number 1
loop_
_space_group_symop_operation_xyz
'x,y,z'
loop_
_atom_site_label
_atom_site_fract_x
_atom_site_fract_y
_atom_site_fract_z
Dy1 0.5780 0.9175 0.8427
Dy2 0.3395 0.2646 0.4220
Dy3 0.1573 0.7354 0.0749
Dy4 0.7362 0.2571 0.3406
Dy5 0.5209 0.6043 0.2638
Dy6 0.6594 0.3957 0.9165
Dy7 0.9251 0.0825 0.6605
Dy8 0.0835 0.7429 0.4791
Tb1 0.8075 0.6752 0.7089
Tb2 0.8677 0.9014 0.1925
Tb3 0.5000 0.0000 0.5000
Tb4 0.0337 0.3248 0.1323
Tb5 0.2911 0.0986 0.9663
Th1 0.2500 0.5000 0.7500

---

# Tb6DyTh8 | Alexandria | PBE | relaxed
# - Energy of formation from the pure elements: 139 meV/atom
# - SG: No. 148
# - Fermi-level density of states: 26.073 states/eV/f.u.
# - Raw total energy: -5.9772 eV/atom
data_Tb6DyTh8
_chemical_formula_sum 'Tb6 Dy1 Th8'
_cell_length_a 8.8511
_cell_length_b 8.8511
_cell_length_c 8.8071
_cell_angle_alpha 59.83
_cell_angle_beta 59.83
_cell_angle_gamma 60.00
_space_group_name_H-M_alt 'P 1'
_space_group_IT_number 1
loop_
_space_group_symop_operation_xyz
'x,y,z'
loop_
_atom_site_label
_atom_site_fract_x
_atom_site_fract_y
_atom_site_fract_z
Tb1 0.4633 0.7310 0.8762
Tb2 0.2690 0.0704 0.1238
Tb3 0.0704 0.5367 0.1238
Tb4 0.7310 0.9296 0.8762
Tb5 0.5367 0.2690 0.1238
Tb6 0.9296 0.4633 0.8762
Dy1 0.0000 0.0000 0.0000
Th1 0.6662 0.8047 0.4113
Th2 0.4230 0.4230 0.7311
Th3 0.1953 0.8821 0.5887
Th4 0.8047 0.1179 0.4113
Th5 0.1179 0.6662 0.4113
Th6 0.3338 0.1953 0.5887
Th7 0.5770 0.5770 0.2689
Th8 0.8821 0.3338 0.5887

---

# Tb6Dy3Th | Alexandria | PBE | relaxed
# - Energy of formation from the pure elements: 76 meV/atom
# - SG: No. 11
# - Energy above the lowest structure with this stoichiometry: 0.000 eV per formula unit
# - Fermi-level density of states: 14.165 states/eV/f.u.
# - Raw total energy: -4.8250 eV/atom
data_Tb6Dy3Th
_chemical_formula_sum 'Tb12 Dy6 Th2'
_cell_length_a 3.5198
_cell_length_b 13.0223
_cell_length_c 14.2860
_cell_angle_alpha 100.52
_cell_angle_beta 90.00
_cell_angle_gamma 90.00
_space_group_name_H-M_alt 'P 1'
_space_group_IT_number 1
loop_
_space_group_symop_operation_xyz
'x,y,z'
loop_
_atom_site_label
_atom_site_fract_x
_atom_site_fract_y
_atom_site_fract_z
Dy1 0.7500 0.4222 0.9033
Dy2 0.2500 0.3744 0.4979
Dy3 0.2500 0.5778 0.0967
Dy4 0.2500 0.9248 0.9000
Dy5 0.7500 0.0752 0.1000
Dy6 0.7500 0.6256 0.5021
Tb1 0.2500 0.4996 0.3098
Tb2 0.7500 0.3456 0.1201
Tb3 0.7500 0.7284 0.2995
Tb4 0.2500 0.8784 0.5154
Tb5 0.7500 0.8094 0.0786
Tb6 0.2500 0.2218 0.2860
Tb7 0.2500 0.6544 0.8799
Tb8 0.2500 0.2716 0.7005
Tb9 0.7500 0.1216 0.4846
Tb10 0.7500 0.7782 0.7140
Tb11 0.2500 0.1906 0.9214
Tb12 0.7500 0.5004 0.6902
Th1 0.7500 0.0386 0.7228
Th2 0.2500 0.9614 0.2772

---

# TbDy6Th12 | Alexandria | PBE | relaxed
# - Energy of formation from the pure elements: 246 meV/atom
# - SG: No. 166
# - Fermi-level density of states: 29.843 states/eV/f.u.
# - Raw total energy: -6.1369 eV/atom
data_TbDy6Th12
_chemical_formula_sum 'Tb1 Dy6 Th12'
_cell_length_a 8.7271
_cell_length_b 8.7271
_cell_length_c 8.7271
_cell_angle_alpha 99.69
_cell_angle_beta 99.69
_cell_angle_gamma 99.69
_space_group_name_H-M_alt 'P 1'
_space_group_IT_number 1
loop_
_space_group_symop_operation_xyz
'x,y,z'
loop_
_atom_site_label
_atom_site_fract_x
_atom_site_fract_y
_atom_site_fract_z
Dy1 0.9010 0.3387 0.9010
Dy2 0.0990 0.0990 0.6613
Dy3 0.6613 0.0990 0.0990
Dy4 0.3387 0.9010 0.9010
Dy5 0.9010 0.9010 0.3387
Dy6 0.0990 0.6613 0.0990
Th1 0.2471 0.7529 0.5000
Th2 0.7529 0.2471 0.5000
Th3 0.3498 0.3498 0.0829
Th4 0.7529 0.5000 0.2471
Th5 0.5000 0.7529 0.2471
Th6 0.6502 0.9171 0.6502
Th7 0.2471 0.5000 0.7529
Th8 0.3498 0.0829 0.3498
Th9 0.5000 0.2471 0.7529
Th10 0.9171 0.6502 0.6502
Th11 0.0829 0.3498 0.3498
Th12 0.6502 0.6502 0.9171
Tb1 0.0000 0.0000 0.0000

---

# Tb3DyTh4 | Alexandria | PBE | relaxed
# - Energy of formation from the pure elements: 325 meV/atom
# - SG: No. 12
# - Fermi-level density of states: 13.581 states/eV/f.u.
# - Raw total energy: -5.6970 eV/atom
data_Tb3DyTh4
_chemical_formula_sum 'Tb3 Dy1 Th4'
_cell_length_a 3.4342
_cell_length_b 9.4352
_cell_length_c 9.6532
_cell_angle_alpha 119.22
_cell_angle_beta 100.25
_cell_angle_gamma 90.00
_space_group_name_H-M_alt 'P 1'
_space_group_IT_number 1
loop_
_space_group_symop_operation_xyz
'x,y,z'
loop_
_atom_site_label
_atom_site_fract_x
_atom_site_fract_y
_atom_site_fract_z
Dy1 0.5000 0.0000 0.0000
Th1 0.6481 0.8426 0.2962
Th2 0.6491 0.4545 0.2982
Th3 0.3519 0.1574 0.7038
Th4 0.3509 0.5455 0.7018
Tb1 0.8153 0.8158 0.6306
Tb2 0.0000 0.5000 0.0000
Tb3 0.1847 0.1842 0.3694

---

# TbDy2Th2 | Alexandria | PBE | relaxed
# - Energy of formation from the pure elements: 447 meV/atom
# - SG: No. 70
# - Energy above the lowest structure with this stoichiometry: 1.913 eV per formula unit
# - Fermi-level density of states: 8.096 states/eV/f.u.
# - Raw total energy: -5.2882 eV/atom
data_TbDy2Th2
_chemical_formula_sum 'Tb2 Dy4 Th4'
_cell_length_a 8.5574
_cell_length_b 8.5574
_cell_length_c 11.6959
_cell_angle_alpha 91.74
_cell_angle_beta 91.74
_cell_angle_gamma 156.52
_space_group_name_H-M_alt 'P 1'
_space_group_IT_number 1
loop_
_space_group_symop_operation_xyz
'x,y,z'
loop_
_atom_site_label
_atom_site_fract_x
_atom_site_fract_y
_atom_site_fract_z
Dy1 0.1696 0.8304 0.0000
Dy2 0.4196 0.5804 0.5000
Dy3 0.8304 0.1696 0.0000
Dy4 0.0804 0.9196 0.5000
Tb1 0.7500 0.2500 0.5000
Tb2 0.5000 0.5000 0.0000
Th1 0.6250 0.8750 0.2500
Th2 0.6250 0.3750 0.7500
Th3 0.1250 0.3750 0.7500
Th4 0.6250 0.3750 0.2500